(1)
A plane-wave DFT calculation with PBE was carried out for an optimized crystal structure of LiPm2Sn3Rh4.

Results
**ΔH_f (0 K)**: -63.7 kJ per mole of atoms
**Crystal system**: tetragonal
**V**: 20.72 Å³ per atom

Cell and atoms, written as extended XYZ:
```
10
Lattice="4.201 0.000 0.000 0.000 4.201 0.000 0.000 0.000 11.743" Properties=species:S:1:pos:R:3 pbc="T T T"
Li 0.000 0.000 0.000
Pm 0.000 2.100 8.963
Pm 2.100 0.000 2.779
Sn 0.000 2.100 4.324
Sn 2.100 0.000 7.419
Sn 2.100 2.100 0.000
Rh 0.000 0.000 5.871
Rh 0.000 2.100 1.692
Rh 2.100 0.000 10.050
Rh 2.100 2.100 5.871
```



(2)
A plane-wave DFT calculation with PBE was carried out for an optimized crystal structure of CrCN2.

Results
**Crystal system**: tetragonal
**V**: 7.44 Å³ per atom

Cell and atoms, written as extended XYZ:
```
16
Lattice="4.253 0.000 0.000 0.000 4.253 0.000 0.000 0.000 6.581" Properties=species:S:1:pos:R:3 pbc="T T T"
Cr 0.000 0.000 0.000
Cr 0.000 2.127 1.645
Cr 2.127 0.000 4.936
Cr 2.127 2.127 3.291
C 0.000 0.000 3.291
C 0.000 2.127 4.936
C 2.127 0.000 1.645
C 2.127 2.127 0.000
N 0.662 1.063 4.113
N 1.063 2.789 5.759
N 1.063 3.591 2.468
N 1.464 1.063 0.823
N 2.789 3.190 0.823
N 3.190 0.662 2.468
N 3.190 1.464 5.759
N 3.591 3.190 4.113
```



(3)
A plane-wave DFT calculation with PBE was carried out for an optimized crystal structure of Zn2NiCl.

Results
**Crystal system**: orthorhombic
**V**: 15.18 Å³ per atom

Cell and atoms, written as extended XYZ:
```
8
Lattice="5.419 0.000 0.000 0.000 7.505 0.000 0.000 0.000 2.986" Properties=species:S:1:pos:R:3 pbc="T T T"
Zn 1.355 1.876 0.000
Zn 1.355 5.629 0.000
Zn 4.064 1.876 0.000
Zn 4.064 5.629 0.000
Ni 0.000 0.000 1.493
Ni 2.709 3.753 1.493
Cl 0.000 3.753 1.493
Cl 2.709 0.000 1.493
```



(4)
A plane-wave DFT calculation with PBE was carried out for an optimized crystal structure of LiSb4Pd.

Results
**Crystal system**: monoclinic
**V**: 24.33 Å³ per atom

Cell and atoms, written as extended XYZ:
```
12
Lattice="7.141 0.000 0.000 0.000 7.189 0.000 -0.008 0.000 5.688" Properties=species:S:1:pos:R:3 pbc="T T T"
Li 0.000 0.000 0.000
Li -0.004 3.595 2.844
Sb 1.082 1.031 2.791
Sb 1.078 2.564 5.635
Sb 2.578 4.614 2.520
Sb 2.574 6.169 5.365
Sb 4.559 1.020 0.324
Sb 4.555 2.575 3.168
Sb 6.054 4.625 0.053
Sb 6.050 6.159 2.897
Pd 3.566 0.000 2.844
Pd 3.570 3.595 0.000
```



(5)
A plane-wave DFT calculation with PBE was carried out for an optimized crystal structure of RbTeS.

Results
**Crystal system**: tetragonal
**V**: 33.61 Å³ per atom

Cell and atoms, written as extended XYZ:
```
6
Lattice="4.056 0.000 0.000 0.000 4.056 0.000 0.000 0.000 12.257" Properties=species:S:1:pos:R:3 pbc="T T T"
Rb 0.000 0.000 0.000
Rb 2.028 2.028 6.128
Te 0.000 0.000 3.417
Te 2.028 2.028 9.545
S 0.000 0.000 9.109
S 2.028 2.028 2.980
```



(6)
A plane-wave DFT calculation with PBE was carried out for an optimized crystal structure of FeS2Cl.

Results
**Crystal system**: tetragonal
**V**: 20.71 Å³ per atom

Cell and atoms, written as extended XYZ:
```
16
Lattice="6.010 0.000 0.000 0.000 6.010 0.000 0.000 0.000 9.173" Properties=species:S:1:pos:R:3 pbc="T T T"
Fe 0.000 0.000 0.000
Fe 0.000 3.005 2.293
Fe 3.005 0.000 6.880
Fe 3.005 3.005 4.587
S 0.849 1.503 1.147
S 1.503 3.854 3.440
S 1.503 5.162 8.027
S 2.157 1.503 5.733
S 3.854 4.508 5.733
S 4.508 0.849 8.027
S 4.508 2.157 3.440
S 5.162 4.508 1.147
Cl 0.000 0.000 4.587
Cl 0.000 3.005 6.880
Cl 3.005 0.000 2.293
Cl 3.005 3.005 0.000
```



Number 1: raw total energy -5.94 eV/atom. Number 2: raw total energy -8.39 eV/atom. Number 3: raw total energy -2.46 eV/atom. Number 4: raw total energy -4.13 eV/atom. Number 5: raw total energy -3.15 eV/atom. Number 6: raw total energy -4.67 eV/atom.